A geometry-optimized PaCoO3 structure. Source: OQMD, functional PBE with a Hubbard U.

As for the total magnetization: 2.02 μB/f.u. The total energy comes out at -37.83 eV for the cell shown. Its crystal system is cubic.

It has space group Pm-3m (No. 221), with a = 4.354 Å, b = 4.354 Å, c = 4.354 Å, α = 90.00°, β = 90.00° and γ = 90.00°. The distinct sites, in fractional coordinates, are Pa at (0.000, 0.000, 0.000), Co at (0.500, 0.500, 0.500) and O at (0.000, 0.000, 0.500).